# SmSnAu3, relaxed, DFT PBE
# excess energy over the best structure of this formula in the dataset = 0.000 eV/atom
# crystal system = monoclinic
# electronic total energy = -85.1 eV per cell
# ΔE_f = -0.54 eV per atom
data_SmSnAu3
_cell_length_a 7.521
_cell_length_b 7.641
_cell_length_c 8.382
_cell_angle_alpha 90.00
_cell_angle_beta 110.47
_cell_angle_gamma 90.00
_space_group_name_H-M_alt 'P 1 21/c 1'
_space_group_IT_number 14
loop_
_space_group_symop_operation_xyz
'x,y,z'
'-x,-y,-z'
'-x,y+1/2,-z+1/2'
'x,-y+1/2,z+1/2'
loop_
_atom_site_label
_atom_site_fract_x
_atom_site_fract_y
_atom_site_fract_z
Sm1 0.196 0.048 0.233
Sn1 0.398 0.723 0.537
Au1 0.036 0.681 0.040
Au2 0.201 0.073 0.863
Au3 0.386 0.107 0.625


# Sm6Sn2Au, relaxed, DFT PBE
# crystal system = hexagonal
# electronic total energy = -44.6 eV per cell
# ΔE_f = -0.56 eV per atom
data_Sm6Sn2Au
_cell_length_a 8.4606
_cell_length_b 8.4606
_cell_length_c 4.3463
_cell_angle_alpha 90.00
_cell_angle_beta 90.00
_cell_angle_gamma 120.00
_space_group_name_H-M_alt 'P -6 2 m'
_space_group_IT_number 189
_space_group_name_Hall 'P -6 -2'
loop_
_atom_site_label
_atom_site_fract_x
_atom_site_fract_y
_atom_site_fract_z
Sm1 0.0000 0.4091 0.0000
Sm2 0.0000 0.7484 0.5000
Sn1 0.3333 0.6667 0.5000
Au1 0.0000 0.0000 0.0000


# SmSnAu, relaxed, DFT PBE
# crystal system = hexagonal
# electronic total energy = -29.0 eV per cell
# ΔE_f = -0.84 eV per atom
data_SmSnAu
_cell_length_a 4.7579
_cell_length_b 4.7579
_cell_length_c 7.5683
_cell_angle_alpha 90.00
_cell_angle_beta 90.00
_cell_angle_gamma 120.00
_space_group_name_H-M_alt 'P 63 m c'
_space_group_IT_number 186
_space_group_name_Hall 'P 6c -2c'
loop_
_atom_site_label
_atom_site_fract_x
_atom_site_fract_y
_atom_site_fract_z
Sm1 0.0000 0.0000 0.0000
Sn1 0.3333 0.6667 0.2252
Au1 0.3333 0.6667 0.8209


# SmSn2Au3, relaxed, DFT PBE
# crystal system = orthorhombic
# electronic total energy = -102.0 eV per cell
# ΔE_f = -0.49 eV per atom
data_SmSn2Au3
_cell_length_a 4.833
_cell_length_b 7.815
_cell_length_c 14.740
_cell_angle_alpha 90.00
_cell_angle_beta 90.00
_cell_angle_gamma 90.00
_space_group_name_H-M_alt 'I m m m'
_space_group_IT_number 71
_space_group_name_Hall '-I 2 2'
loop_
_atom_site_label
_atom_site_fract_x
_atom_site_fract_y
_atom_site_fract_z
Sm1 0.000 0.000 0.138
Sn1 0.000 0.317 0.500
Sn2 0.000 0.500 0.177
Au1 0.000 0.226 0.313
Au2 0.000 0.324 0.000


# SmSn3Au, relaxed, DFT PBE
# crystal system = orthorhombic
# electronic total energy = -88.8 eV per cell
# ΔE_f = -0.44 eV per atom
data_SmSn3Au
_cell_length_a 12.798
_cell_length_b 6.298
_cell_length_c 6.311
_cell_angle_alpha 90.00
_cell_angle_beta 90.00
_cell_angle_gamma 90.00
_space_group_name_H-M_alt 'P b c m'
_space_group_IT_number 57
loop_
_space_group_symop_operation_xyz
'x,y,z'
'-x,-y,-z'
'-x,-y,z+1/2'
'x,y,-z+1/2'
'x,-y+1/2,-z'
'-x,y+1/2,z'
'-x,y+1/2,-z+1/2'
'x,-y+1/2,z+1/2'
loop_
_atom_site_label
_atom_site_fract_x
_atom_site_fract_y
_atom_site_fract_z
Sm1 0.194 0.006 0.250
Sn1 0.001 0.250 0.000
Sn2 0.246 0.514 0.250
Sn3 0.433 0.636 0.750
Au1 0.387 0.250 0.000


# Sm4SnAu3, relaxed, DFT PBE
# crystal system = orthorhombic
# electronic total energy = -39.0 eV per cell
# ΔE_f = -0.78 eV per atom
data_Sm4SnAu3
_cell_length_a 3.993
_cell_length_b 4.703
_cell_length_c 11.336
_cell_angle_alpha 90.00
_cell_angle_beta 90.00
_cell_angle_gamma 90.00
_space_group_name_H-M_alt 'P m m 2'
_space_group_IT_number 25
loop_
_space_group_symop_operation_xyz
'x,y,z'
'-x,-y,z'
'-x,y,z'
'x,-y,z'
loop_
_atom_site_label
_atom_site_fract_x
_atom_site_fract_y
_atom_site_fract_z
Sm1 0.000 0.000 0.000
Sm2 0.000 0.500 0.267
Sm3 0.500 0.000 0.482
Sm4 0.500 0.500 0.777
Sn1 0.000 0.000 0.714
Au1 0.000 0.500 0.539
Au2 0.500 0.000 0.215
Au3 0.500 0.500 0.047


# SmSn2Au6, relaxed, DFT PBE
# crystal system = orthorhombic
# electronic total energy = -70.0 eV per cell
# ΔE_f = -0.29 eV per atom
data_SmSn2Au6
_cell_length_a 3.603
_cell_length_b 8.080
_cell_length_c 13.752
_cell_angle_alpha 90.00
_cell_angle_beta 90.00
_cell_angle_gamma 90.00
_space_group_name_H-M_alt 'I m m m'
_space_group_IT_number 71
_space_group_name_Hall '-I 2 2'
loop_
_atom_site_label
_atom_site_fract_x
_atom_site_fract_y
_atom_site_fract_z
Sm1 0.000 0.000 0.000
Sn1 0.000 0.500 0.144
Au1 0.000 0.177 0.500
Au2 0.000 0.328 0.323


# SmSnAu4, relaxed, DFT PBE
# excess energy over the best structure of this formula in the dataset = 0.022 eV/atom
# crystal system = cubic
# electronic total energy = -97.0 eV per cell
# ΔE_f = -0.40 eV per atom
data_SmSnAu4
_cell_length_a 8.015
_cell_length_b 8.015
_cell_length_c 8.015
_cell_angle_alpha 90.00
_cell_angle_beta 90.00
_cell_angle_gamma 90.00
_space_group_name_H-M_alt 'F -4 3 m'
_space_group_IT_number 216
_space_group_name_Hall 'F -4 2 3'
loop_
_atom_site_label
_atom_site_fract_x
_atom_site_fract_y
_atom_site_fract_z
Sm1 0.000 0.000 0.000
Sn1 0.250 0.250 0.750
Au1 0.125 0.125 0.375


# Sm4SnAu, relaxed, DFT PBE
# crystal system = orthorhombic
# electronic total energy = -114.6 eV per cell
# ΔE_f = -0.42 eV per atom
data_Sm4SnAu
_cell_length_a 5.571
_cell_length_b 21.098
_cell_length_c 6.466
_cell_angle_alpha 90.00
_cell_angle_beta 90.00
_cell_angle_gamma 90.00
_space_group_name_H-M_alt 'C m c m'
_space_group_IT_number 63
_space_group_name_Hall '-C 2c 2'
loop_
_atom_site_label
_atom_site_fract_x
_atom_site_fract_y
_atom_site_fract_z
Sm1 0.000 0.057 0.250
Sm2 0.000 0.206 0.006
Sm3 0.000 0.385 0.250
Sn1 0.000 0.347 0.750
Au1 0.000 0.080 0.750


# SmSnAu3, relaxed, DFT PBE
# excess energy over the best structure of this formula in the dataset = 0.093 eV/atom
# crystal system = orthorhombic
# electronic total energy = -41.6 eV per cell
# ΔE_f = -0.45 eV per atom
data_SmSnAu3
_cell_length_a 5.075
_cell_length_b 7.466
_cell_length_c 6.517
_cell_angle_alpha 90.00
_cell_angle_beta 90.00
_cell_angle_gamma 90.00
_space_group_name_H-M_alt 'P m m n'
_space_group_IT_number 59
loop_
_space_group_symop_operation_xyz
'x,y,z'
'-x,-y,-z'
'-x+1/2,-y+1/2,z'
'x+1/2,y+1/2,-z'
'x+1/2,-y,-z'
'-x+1/2,y,z'
'-x,y+1/2,-z'
'x,-y+1/2,z'
loop_
_atom_site_label
_atom_site_fract_x
_atom_site_fract_y
_atom_site_fract_z
Sm1 0.250 0.250 0.238
Sn1 0.250 0.250 0.725
Au1 0.250 0.567 0.929
Au2 0.250 0.750 0.479


# SmSnAu, relaxed, DFT PBE
# crystal system = orthorhombic
# electronic total energy = -56.8 eV per cell
# ΔE_f = -0.73 eV per atom
data_SmSnAu
_cell_length_a 5.529
_cell_length_b 8.480
_cell_length_c 6.288
_cell_angle_alpha 90.00
_cell_angle_beta 90.00
_cell_angle_gamma 90.00
_space_group_name_H-M_alt 'P b c m'
_space_group_IT_number 57
loop_
_space_group_symop_operation_xyz
'x,y,z'
'-x,-y,-z'
'-x,-y,z+1/2'
'x,y,-z+1/2'
'x,-y+1/2,-z'
'-x,y+1/2,z'
'-x,y+1/2,-z+1/2'
'x,-y+1/2,z+1/2'
loop_
_atom_site_label
_atom_site_fract_x
_atom_site_fract_y
_atom_site_fract_z
Sm1 0.170 0.096 0.250
Sn1 0.313 0.750 0.000
Au1 0.316 0.065 0.750


# SmSnAu, relaxed, DFT PBE
# crystal system = cubic
# electronic total energy = -58.2 eV per cell
# ΔE_f = -0.85 eV per atom
data_SmSnAu
_cell_length_a 6.826
_cell_length_b 6.826
_cell_length_c 6.826
_cell_angle_alpha 90.00
_cell_angle_beta 90.00
_cell_angle_gamma 90.00
_space_group_name_H-M_alt 'F -4 3 m'
_space_group_IT_number 216
_space_group_name_Hall 'F -4 2 3'
loop_
_atom_site_label
_atom_site_fract_x
_atom_site_fract_y
_atom_site_fract_z
Sm1 0.000 0.000 0.000
Sn1 0.000 0.000 0.500
Au1 0.250 0.250 0.750


Total magnetization per entry: 0.00 2.73 0.00 0.00 0.00 0.00 0.00 0.00 0.00 0.00 0.00 0.00 μB/f.u.
DOS at the Fermi energy per entry: 0.3275 1.2560 0.0816 0.4007 0.5124 0.8703 0.5120 0.6367 1.0189 0.3969 0.7609 0.0683 states/eV/atom